# 1
First-principles (PBE) data for a relaxed structure of NpOsRh, as listed in the Alexandria database.

Structure (POSCAR):
```
NpOsRh
1.0
2.9105 0.0000 0.0000
0.0000 4.5219 0.0000
-1.4552 0.0000 8.1960
Rh Os Np
2 2 2
direct
0.2170 0.3755 0.4340
0.7830 0.8755 0.5660
0.0478 0.3755 0.0956
0.9522 0.8755 0.9044
0.8740 0.3755 0.7481
0.1260 0.8755 0.2519
```

The formation energy comes out at 0.43 eV/atom.

# 2
First-principles (PBE) data for a relaxed structure of NiAgPb2, as listed in the Alexandria database.

Structure (POSCAR):
```
NiAgPb2
1.0
5.0100 -0.0050 0.0128
0.0075 5.0100 0.0128
-0.0101 -0.0100 3.4815
Ag Pb Ni
1 2 1
direct
0.5000 0.0000 0.5000
0.5000 0.5000 0.0000
0.0000 0.0000 0.0000
0.0000 0.5000 0.5000
```

The formation energy comes out at 0.28 eV/atom. For the offset from the most stable computed form, the calculation gives 102.5 meV/atom.